# 1
TaZn2C: relaxed, PBE.

formation energy from the elements: 525 meV per atom
space-group type: I-42d (122)
spin magnetization: 0.0 μB/f.u.
Fermi-level density of states: 2.36 states/eV per cell

abc: 5.439 5.439 5.439
angles: 99.51 99.51 132.04
Positions (direct):
Ta (0.000, 0.000, 0.000)
Ta (0.750, 0.250, 0.500)
Zn (0.202, 0.625, 0.077)
Zn (0.375, 0.452, 0.577)
Zn (0.548, 0.125, 0.923)
Zn (0.875, 0.798, 0.423)
C (0.250, 0.750, 0.500)
C (0.500, 0.500, 0.000)

# 2
ZrTaC2: relaxed, PBE.

formation energy from the elements: -473 meV per atom
space-group type: R3m (160)
spin magnetization: 0.0 μB/f.u.
energy above the lowest structure with this stoichiometry: 25.5 kJ per mole of atoms
Fermi-level density of states: 1.92 states/eV per cell

abc: 5.901 5.901 5.901
angles: 31.45 31.45 31.45
Positions (direct):
Zr (0.000, 0.000, 0.000)
Ta (0.175, 0.175, 0.175)
C (0.580, 0.580, 0.580)
C (0.761, 0.761, 0.761)

# 3
ZrTa5C4: relaxed, PBE.

formation energy from the elements: -561 meV per atom
space-group type: C2/m (12)
spin magnetization: 0.0 μB/f.u.
Fermi-level density of states: 3.80 states/eV per cell

abc: 7.089 7.089 6.354
angles: 103.87 103.87 25.73
Positions (direct):
Zr (0.000, 0.000, 0.000)
Ta (0.000, 0.000, 0.500)
Ta (0.331, 0.331, 0.673)
Ta (0.335, 0.335, 0.156)
Ta (0.665, 0.665, 0.844)
Ta (0.669, 0.669, 0.327)
C (0.171, 0.171, 0.088)
C (0.495, 0.495, 0.736)
C (0.505, 0.505, 0.264)
C (0.829, 0.829, 0.912)

# 4
Zr3TaC: relaxed, PBE.

formation energy from the elements: 2196 meV per atom
space-group type: Pm-3m (221)
spin magnetization: 0.0 μB/f.u.
energy above the lowest structure with this stoichiometry: 225.1 kJ per mole of atoms
Fermi-level density of states: 9.41 states/eV per cell

abc: 5.081 5.081 5.081
angles: 90.00 90.00 90.00
Positions (direct):
Zr (0.000, 0.000, 0.500)
Zr (0.000, 0.500, 0.000)
Zr (0.500, 0.000, 0.000)
Ta (0.000, 0.000, 0.000)
C (0.500, 0.500, 0.500)

Number 3 is which compound? ZrTa5C4

Which value of spin magnetization does entry 3 give? 0.0 μB/f.u.